1.
LiSi5: optimized geometry, PBE.

Calculated values
* magnetic moment: 0.00 μB/atom
* total energy: -27.7 eV for the cell shown
* formation energy from raw total energies: 0.215 eV/atom
* crystal system: monoclinic

Cell lengths 5.6856, 5.6856, 6.6167 Å; angles 53.09, 53.09, 37.67 degrees
Positions (direct):
Li1 0.9680 0.9680 0.0550
Si1 0.6701 0.6701 0.6901
Si2 0.2718 0.2718 0.4119
Si3 0.4368 0.4368 0.7094
Si4 0.0884 0.0884 0.3223
Si5 0.7316 0.7316 0.9779

2.
Li8Si: optimized geometry, PBE.

Calculated values
* magnetic moment: 0.00 μB/atom
* total energy: -21.4 eV for the cell shown
* formation energy from raw total energies: -0.078 eV/atom
* crystal system: tetragonal

Cell lengths 6.3334, 6.3334, 6.3334 Å; angles 96.97, 96.97, 139.22 degrees
Positions (direct):
Li1 0.3483 0.6517 0.0000
Li2 0.6517 0.3483 0.0000
Li3 0.0000 0.3163 0.3163
Li4 0.6517 0.6517 0.3034
Li5 0.3163 0.0000 0.3163
Li6 0.3483 0.3483 0.6966
Li7 0.0000 0.6837 0.6837
Li8 0.6837 0.0000 0.6837
Si1 0.0000 0.0000 0.0000

3.
LiSi23: optimized geometry, PBE.

Calculated values
* magnetic moment: 0.00 μB/atom
* total energy: -250.5 eV for the cell shown
* formation energy from raw total energies: 0.057 eV/atom
* crystal system: cubic

Cell lengths 10.2183, 10.2183, 10.2183 Å; angles 90.00, 90.00, 90.00 degrees
Positions (direct):
Si1 0.2500 0.0000 0.5000
Si2 0.7500 0.0000 0.5000
Si3 0.0000 0.5000 0.2500
Si4 0.0000 0.5000 0.7500
Si5 0.5000 0.2500 0.0000
Si6 0.5000 0.7500 0.0000
Si7 0.6831 0.6831 0.6831
Si8 0.6831 0.3169 0.3169
Si9 0.3169 0.6831 0.3169
Si10 0.3169 0.3169 0.6831
Si11 0.8169 0.8169 0.8169
Si12 0.8169 0.1831 0.1831
Si13 0.1831 0.8169 0.1831
Si14 0.1831 0.1831 0.8169
Si15 0.3169 0.3169 0.3169
Si16 0.3169 0.6831 0.6831
Si17 0.6831 0.3169 0.6831
Si18 0.6831 0.6831 0.3169
Si19 0.1831 0.1831 0.1831
Si20 0.1831 0.8169 0.8169
Si21 0.8169 0.1831 0.8169
Si22 0.8169 0.8169 0.1831
Si23 0.0000 0.6918 0.8832
Si24 0.0000 0.3082 0.1168
Si25 0.0000 0.6918 0.1168
Si26 0.0000 0.3082 0.8832
Si27 0.6918 0.8832 0.0000
Si28 0.6918 0.1168 0.0000
Si29 0.3082 0.8832 0.0000
Si30 0.3082 0.1168 0.0000
Si31 0.8832 0.0000 0.6918
Si32 0.8832 0.0000 0.3082
Si33 0.1168 0.0000 0.3082
Si34 0.1168 0.0000 0.6918
Si35 0.8082 0.5000 0.6168
Si36 0.8082 0.5000 0.3832
Si37 0.1918 0.5000 0.3832
Si38 0.1918 0.5000 0.6168
Si39 0.5000 0.6168 0.8082
Si40 0.5000 0.3832 0.1918
Si41 0.5000 0.6168 0.1918
Si42 0.5000 0.3832 0.8082
Si43 0.6168 0.8082 0.5000
Si44 0.6168 0.1918 0.5000
Si45 0.3832 0.8082 0.5000
Si46 0.3832 0.1918 0.5000
Li1 0.0000 0.0000 0.0000
Li2 0.5000 0.5000 0.5000